# 1
## Zn2PtRh (GGA-PBEsol)

Data for crystalline Zn2PtRh at its relaxed geometry.

Lattice parameters (Å, degrees): 2.7010 2.7010 8.8364 90.00 90.00 118.97
Positions (direct):
Zn: 0.0000 0.0000 0.0000
Zn: 0.5000 0.5000 0.2505
Pt: 0.0000 0.0000 0.4976
Rh: 0.5000 0.5000 0.7626

Calculated values
DFT total energy (eV per atom): -4.65
E_form (eV/atom): -0.09
Space-group type: Cmm2, No. 35
Spin magnetization (μB/f.u.): 0.00
Calculated volume (Å³/cell): 56.4

***

# 2
## ZnPtRh (GGA-PBEsol)

Data for crystalline ZnPtRh at its relaxed geometry.

Lattice parameters (Å, degrees): 4.0472 4.0472 4.0472 60.00 60.00 60.00
Positions (direct):
Zn: 0.0000 0.0000 0.0000
Pt: 0.7500 0.7500 0.7500
Rh: 0.2500 0.2500 0.2500

Calculated values
DFT total energy (eV per atom): -5.40
E_form (eV/atom): 0.16
Relative energy among the computed polymorphs (eV/atom): 0.4171
Space-group type: F-43m, No. 216
Spin magnetization (μB/f.u.): 0.00
Calculated volume (Å³/cell): 46.9